Entry 1:
Compound: Ho2Mg3Sc
Source: Alexandria
Functional: PBE-GGA
Structure: relaxed

Geometry as CIF:
```
data_Ho2Mg3Sc
_cell_length_a 3.714
_cell_length_b 3.714
_cell_length_c 11.174
_cell_angle_alpha 90.00
_cell_angle_beta 90.00
_cell_angle_gamma 90.00
_symmetry_space_group_name_H-M 'P 4/m m m'
_symmetry_Int_Tables_number 123
_symmetry_space_group_name_Hall '-P 4 2'
loop_
_atom_site_label
_atom_site_type_symbol
_atom_site_fract_x
_atom_site_fract_y
_atom_site_fract_z
Ho1 Ho 0.000 0.000 0.172
Mg1 Mg 0.500 0.500 0.000
Mg2 Mg 0.500 0.500 0.347
Sc1 Sc 0.000 0.000 0.500
```

Output
DOS(E_F) ... 1.525 states/eV per atom
ΔH_f (0 K) ... -0.056 eV/atom
Spin magnetization ... 0.00 μB per formula unit

***

Entry 2:
Compound: Nd2DyN
Source: Alexandria
Functional: PBE-GGA
Structure: relaxed

Geometry as CIF:
```
data_Nd2DyN
_cell_length_a 3.5784
_cell_length_b 3.5784
_cell_length_c 29.0609
_cell_angle_alpha 90.00
_cell_angle_beta 90.00
_cell_angle_gamma 120.00
_symmetry_space_group_name_H-M 'R -3 m'
_symmetry_Int_Tables_number 166
_symmetry_space_group_name_Hall '-R 3 2"'
loop_
_atom_site_label
_atom_site_type_symbol
_atom_site_fract_x
_atom_site_fract_y
_atom_site_fract_z
Nd1 Nd 0.0000 0.0000 0.1191
Dy1 Dy 0.0000 0.0000 0.0000
N1 N 0.0000 0.0000 0.5000
```

Output
DOS(E_F) ... 0.920 states/eV per atom
Spin magnetization ... 0.00 μB per formula unit
Energy relative to the elements, uncorrected ... -534.3 meV/atom

***

Entry 3:
Compound: Ac2DyHoBi4
Source: Alexandria
Functional: PBE-GGA
Structure: relaxed

Geometry as CIF:
```
data_Ac2DyHoBi4
_cell_length_a 8.086
_cell_length_b 4.682
_cell_length_c 8.103
_cell_angle_alpha 90.00
_cell_angle_beta 109.51
_cell_angle_gamma 90.00
_symmetry_space_group_name_H-M 'P 1 2/m 1'
_symmetry_Int_Tables_number 10
loop_
_symmetry_equiv_pos_as_xyz
'x,y,z'
'-x,-y,-z'
'-x,y,-z'
'x,-y,z'
loop_
_atom_site_label
_atom_site_type_symbol
_atom_site_fract_x
_atom_site_fract_y
_atom_site_fract_z
Ac1 Ac 0.000 0.000 0.000
Ac2 Ac 0.000 0.500 0.500
Dy1 Dy 0.500 0.000 0.500
Ho1 Ho 0.500 0.500 0.000
Bi1 Bi 0.274 0.000 0.758
Bi2 Bi 0.274 0.500 0.257
```

Output
DOS(E_F) ... 0.144 states/eV per atom
ΔH_f (0 K) ... -0.908 eV/atom
Spin magnetization ... 0.00 μB per formula unit

***

Entry 4:
Compound: Ho2ErThSc
Source: Alexandria
Functional: PBE-GGA
Structure: relaxed

Geometry as CIF:
```
data_Ho2ErThSc
_cell_length_a 6.138
_cell_length_b 7.704
_cell_length_c 6.582
_cell_angle_alpha 90.00
_cell_angle_beta 90.00
_cell_angle_gamma 90.00
_symmetry_space_group_name_H-M 'P m m a'
_symmetry_Int_Tables_number 51
loop_
_symmetry_equiv_pos_as_xyz
'x,y,z'
'-x,-y,-z'
'-x+1/2,-y,z'
'x+1/2,y,-z'
'x+1/2,-y,-z'
'-x+1/2,y,z'
'-x,y,-z'
'x,-y,z'
loop_
_atom_site_label
_atom_site_type_symbol
_atom_site_fract_x
_atom_site_fract_y
_atom_site_fract_z
Ho1 Ho 0.250 0.207 0.223
Er1 Er 0.250 0.000 0.687
Th1 Th 0.250 0.500 0.908
Sc1 Sc 0.000 0.500 0.500
```

Output
DOS(E_F) ... 1.194 states/eV per atom
ΔH_f (0 K) ... 0.300 eV/atom
Spin magnetization ... 0.00 μB per formula unit

***

Entry 5:
Compound: LiCoSeN2
Source: Alexandria
Functional: PBE-GGA
Structure: relaxed

Geometry as CIF:
```
data_LiCoSeN2
_cell_length_a 3.541
_cell_length_b 3.541
_cell_length_c 4.756
_cell_angle_alpha 90.00
_cell_angle_beta 90.00
_cell_angle_gamma 90.00
_symmetry_space_group_name_H-M 'P 4/m m m'
_symmetry_Int_Tables_number 123
_symmetry_space_group_name_Hall '-P 4 2'
loop_
_atom_site_label
_atom_site_type_symbol
_atom_site_fract_x
_atom_site_fract_y
_atom_site_fract_z
Li1 Li 0.000 0.000 0.000
Co1 Co 0.500 0.500 0.500
Se1 Se 0.000 0.000 0.500
N1 N 0.000 0.500 0.000
```

Output
DOS(E_F) ... 0.824 states/eV per atom
Energy relative to the lowest polymorph listed for this composition ... 1157.0 meV/atom
Spin magnetization ... 0.98 μB per formula unit
Energy relative to the elements, uncorrected ... 1772.6 meV/atom

***

Entry 6:
Compound: SrTl3Ag2
Source: Alexandria
Functional: PBE-GGA
Structure: relaxed

Geometry as CIF:
```
data_SrTl3Ag2
_cell_length_a 19.002
_cell_length_b 4.765
_cell_length_c 11.585
_cell_angle_alpha 90.00
_cell_angle_beta 106.29
_cell_angle_gamma 90.00
_symmetry_space_group_name_H-M 'C 1 2/m 1'
_symmetry_Int_Tables_number 12
loop_
_symmetry_equiv_pos_as_xyz
'x,y,z'
'-x,-y,-z'
'-x,y,-z'
'x,-y,z'
'x+1/2,y+1/2,z'
'-x+1/2,-y+1/2,-z'
'-x+1/2,y+1/2,-z'
'x+1/2,-y+1/2,z'
loop_
_atom_site_label
_atom_site_type_symbol
_atom_site_fract_x
_atom_site_fract_y
_atom_site_fract_z
Sr1 Sr 0.000 0.000 0.000
Sr2 Sr 0.161 0.000 0.701
Tl1 Tl 0.000 0.500 0.500
Tl2 Tl 0.038 0.000 0.345
Tl3 Tl 0.115 0.500 0.190
Tl4 Tl 0.176 0.500 0.958
Tl5 Tl 0.213 0.000 0.379
Ag1 Ag 0.037 0.500 0.788
Ag2 Ag 0.143 0.500 0.462
Ag3 Ag 0.193 0.000 0.120
```

Output
DOS(E_F) ... 0.491 states/eV per atom
ΔH_f (0 K) ... -0.102 eV/atom
Spin magnetization ... 0.00 μB per formula unit

***

Entry 7:
Compound: TaSBr
Source: Alexandria
Functional: PBE-GGA
Structure: relaxed

Geometry as CIF:
```
data_TaSBr
_cell_length_a 8.795
_cell_length_b 5.458
_cell_length_c 6.453
_cell_angle_alpha 90.00
_cell_angle_beta 90.85
_cell_angle_gamma 90.00
_symmetry_space_group_name_H-M 'P 1 21/c 1'
_symmetry_Int_Tables_number 14
loop_
_symmetry_equiv_pos_as_xyz
'x,y,z'
'-x,-y,-z'
'-x,y+1/2,-z+1/2'
'x,-y+1/2,z+1/2'
loop_
_atom_site_label
_atom_site_type_symbol
_atom_site_fract_x
_atom_site_fract_y
_atom_site_fract_z
Ta1 Ta 0.083 0.250 0.002
S1 S 0.105 0.602 0.252
Br1 Br 0.309 0.093 0.256
```

Output
DOS(E_F) ... 0.329 states/eV per atom
Spin magnetization ... 0.00 μB per formula unit
Energy relative to the elements, uncorrected ... -850.5 meV/atom

***

Entry 8:
Compound: TbPrEr2
Source: Alexandria
Functional: PBE-GGA
Structure: relaxed

Geometry as CIF:
```
data_TbPrEr2
_cell_length_a 3.649
_cell_length_b 11.411
_cell_length_c 6.277
_cell_angle_alpha 90.00
_cell_angle_beta 90.00
_cell_angle_gamma 90.00
_symmetry_space_group_name_H-M 'I m m 2'
_symmetry_Int_Tables_number 44
loop_
_symmetry_equiv_pos_as_xyz
'x,y,z'
'-x,-y,z'
'-x,y,z'
'x,-y,z'
'x+1/2,y+1/2,z+1/2'
'-x+1/2,-y+1/2,z+1/2'
'-x+1/2,y+1/2,z+1/2'
'x+1/2,-y+1/2,z+1/2'
loop_
_atom_site_label
_atom_site_type_symbol
_atom_site_fract_x
_atom_site_fract_y
_atom_site_fract_z
Tb1 Tb 0.000 0.000 0.000
Pr1 Pr 0.000 0.500 0.004
Er1 Er 0.000 0.252 0.667
```

Output
DOS(E_F) ... 1.748 states/eV per atom
Energy relative to the lowest polymorph listed for this composition ... 14.4 meV/atom
ΔH_f (0 K) ... 0.026 eV/atom
Spin magnetization ... 0.01 μB per formula unit

***

Look up the DOS(E_F) of the fifth one. 0.824 states/eV per atom

***

Look up the DOS(E_F) of the fifth one. 0.824 states/eV per atom

***

Copy entry 2 word for word.
Compound: Nd2DyN
Source: Alexandria
Functional: PBE-GGA
Structure: relaxed

Geometry as CIF:
```
data_Nd2DyN
_cell_length_a 3.5784
_cell_length_b 3.5784
_cell_length_c 29.0609
_cell_angle_alpha 90.00
_cell_angle_beta 90.00
_cell_angle_gamma 120.00
_symmetry_space_group_name_H-M 'R -3 m'
_symmetry_Int_Tables_number 166
_symmetry_space_group_name_Hall '-R 3 2"'
loop_
_atom_site_label
_atom_site_type_symbol
_atom_site_fract_x
_atom_site_fract_y
_atom_site_fract_z
Nd1 Nd 0.0000 0.0000 0.1191
Dy1 Dy 0.0000 0.0000 0.0000
N1 N 0.0000 0.0000 0.5000
```

Output
DOS(E_F) ... 0.920 states/eV per atom
Spin magnetization ... 0.00 μB per formula unit
Energy relative to the elements, uncorrected ... -534.3 meV/atom

***

Look up the DOS(E_F) of the second one. 0.920 states/eV per atom